Here is La2Ir2Au after structural relaxation from Alexandria. Energies are from PBE-GGA.

a b c (Å): 7.608 7.608 3.978
angles (deg): 90.00 90.00 90.00
Fractional positions:
Au: 0.500 0.500 0.000
Au: 0.000 0.000 0.000
La: 0.827 0.327 0.500
La: 0.673 0.827 0.500
La: 0.173 0.673 0.500
La: 0.327 0.173 0.500
Ir: 0.868 0.632 0.000
Ir: 0.132 0.368 0.000
Ir: 0.368 0.868 0.000
Ir: 0.632 0.132 0.000

Crystal system ... tetragonal
Total DFT energy (no corrections) ... -6.79 eV/atom
Energy of formation from the pure elements ... -619 meV/atom

=====

Here is LaIrAu2 after structural relaxation from Alexandria. Energies are from PBE-GGA.

a b c (Å): 10.219 10.219 10.219
angles (deg): 17.00 17.00 17.00
Last column: magnetic moment on the atom in μB.
Fractional positions:
La: 0.750 0.750 0.750  0.53
Au: 0.509 0.509 0.509  0.03
Au: 0.991 0.991 0.991  0.03
Ir: 0.250 0.250 0.250  0.73

Crystal system ... trigonal
Total DFT energy (no corrections) ... -4.76 eV/atom
Energy of formation from the pure elements ... 330 meV/atom

=====

> total DFT energy (no corrections) of number 1 (La2Ir2Au)?

-6.79 eV/atom